Entry 1:
The following is a PBE calculation of a geometry-optimized RbAgSnTe2 structure, from the Alexandria database.

```
data_RbAgSnTe2
_symmetry_space_group_name_H-M 'P 1'
_symmetry_Int_Tables_number 1
_cell_length_a 8.939
_cell_length_b 8.939
_cell_length_c 6.572
_cell_angle_alpha 90.00
_cell_angle_beta 90.00
_cell_angle_gamma 131.25
loop_
_symmetry_equiv_pos_as_xyz
'x,y,z'
loop_
_atom_site_label
_atom_site_type_symbol
_atom_site_fract_x
_atom_site_fract_y
_atom_site_fract_z
_atom_site_occupancy
Rb1 Rb 0.250 0.750 0.762 1
Rb2 Rb 0.750 0.250 0.238 1
Ag1 Ag 0.000 0.000 0.000 1
Ag2 Ag 0.500 0.500 0.000 1
Sn1 Sn 0.250 0.250 0.500 1
Sn2 Sn 0.750 0.750 0.500 1
Te1 Te 0.125 0.875 0.261 1
Te2 Te 0.375 0.625 0.261 1
Te3 Te 0.625 0.375 0.739 1
Te4 Te 0.875 0.125 0.739 1
```

Values from the calculation:
Density: 4772 kg/m³
Formation energy from raw total energies: -386.7 meV per atom



Entry 2:
The following is a PBE calculation of a geometry-optimized RbAg2SnTe4 structure, from the Alexandria database.

```
data_RbAg2SnTe4
_symmetry_space_group_name_H-M 'P 1'
_symmetry_Int_Tables_number 1
_cell_length_a 7.266
_cell_length_b 7.266
_cell_length_c 7.266
_cell_angle_alpha 115.74
_cell_angle_beta 115.74
_cell_angle_gamma 97.55
loop_
_symmetry_equiv_pos_as_xyz
'x,y,z'
loop_
_atom_site_label
_atom_site_type_symbol
_atom_site_fract_x
_atom_site_fract_y
_atom_site_fract_z
_atom_site_occupancy
Rb1 Rb 0.000 0.000 0.000 1
Ag1 Ag 0.250 0.750 0.500 1
Ag2 Ag 0.750 0.250 0.500 1
Sn1 Sn 0.500 0.500 0.000 1
Te1 Te 0.121 0.535 0.000 1
Te2 Te 0.465 0.465 0.586 1
Te3 Te 0.535 0.121 0.000 1
Te4 Te 0.879 0.879 0.414 1
```

Values from the calculation:
Density: 5400 kg/m³
Formation energy from raw total energies: -273.0 meV per atom



Entry 3:
The following is a PBE calculation of a geometry-optimized Rb2AgSn2Te4 structure, from the Alexandria database.

```
data_Rb2AgSn2Te4
_symmetry_space_group_name_H-M 'P 1'
_symmetry_Int_Tables_number 1
_cell_length_a 10.190
_cell_length_b 10.190
_cell_length_c 7.997
_cell_angle_alpha 95.79
_cell_angle_beta 95.79
_cell_angle_gamma 24.02
loop_
_symmetry_equiv_pos_as_xyz
'x,y,z'
loop_
_atom_site_label
_atom_site_type_symbol
_atom_site_fract_x
_atom_site_fract_y
_atom_site_fract_z
_atom_site_occupancy
Rb1 Rb 0.117 0.117 0.094 1
Rb2 Rb 0.883 0.883 0.906 1
Ag1 Ag 0.000 0.000 0.500 1
Sn1 Sn 0.344 0.344 0.443 1
Sn2 Sn 0.656 0.656 0.557 1
Te1 Te 0.228 0.228 0.753 1
Te2 Te 0.477 0.477 0.262 1
Te3 Te 0.523 0.523 0.738 1
Te4 Te 0.772 0.772 0.247 1
```

Values from the calculation:
Density: 5071 kg/m³
Formation energy from raw total energies: -467.2 meV per atom



Entry 4:
The following is a PBE calculation of a geometry-optimized RbAgSn2Te4 structure, from the Alexandria database.

```
data_RbAgSn2Te4
_symmetry_space_group_name_H-M 'P 1'
_symmetry_Int_Tables_number 1
_cell_length_a 7.637
_cell_length_b 7.637
_cell_length_c 16.679
_cell_angle_alpha 90.00
_cell_angle_beta 90.00
_cell_angle_gamma 145.11
loop_
_symmetry_equiv_pos_as_xyz
'x,y,z'
loop_
_atom_site_label
_atom_site_type_symbol
_atom_site_fract_x
_atom_site_fract_y
_atom_site_fract_z
_atom_site_occupancy
Rb1 Rb 0.113 0.887 0.750 1
Rb2 Rb 0.887 0.113 0.250 1
Ag1 Ag 0.182 0.818 0.250 1
Ag2 Ag 0.818 0.182 0.750 1
Sn1 Sn 0.369 0.631 0.562 1
Sn2 Sn 0.369 0.631 0.938 1
Sn3 Sn 0.631 0.369 0.062 1
Sn4 Sn 0.631 0.369 0.438 1
Te1 Te 0.000 0.000 0.000 1
Te2 Te 0.000 0.000 0.500 1
Te3 Te 0.267 0.733 0.099 1
Te4 Te 0.267 0.733 0.401 1
Te5 Te 0.420 0.580 0.750 1
Te6 Te 0.580 0.420 0.250 1
Te7 Te 0.733 0.267 0.599 1
Te8 Te 0.733 0.267 0.901 1
```

Values from the calculation:
Density: 5618 kg/m³
Formation energy from raw total energies: -322.7 meV per atom